(1)
# ZrCuAs2 GGA-PBE optimized geometry
# - energy of formation (eV/atom) = -0.48
# - volume (Å³/cell) = 144.2
data_ZrCuAs2
_symmetry_space_group_name_H-M 'C 1 m 1'
_symmetry_Int_Tables_number 8
_cell_length_a 10.231
_cell_length_b 3.623
_cell_length_c 3.945
_cell_angle_alpha 90.00
_cell_angle_beta 99.51
_cell_angle_gamma 90.00
loop_
_symmetry_equiv_pos_as_xyz
'x,y,z'
'x,-y,z'
'x+1/2,y+1/2,z'
'x+1/2,-y+1/2,z'
loop_
_atom_site_label
_atom_site_fract_x
_atom_site_fract_y
_atom_site_fract_z
Zr1 0.000 0.000 0.000
Cu1 0.283 0.500 0.411
As1 0.058 0.500 0.524
As2 0.287 0.000 0.947


(2)
# MnCo2Ru GGA-PBE optimized geometry
# - energy of formation (eV/atom) = 0.14
# - volume (Å³/cell) = 48.3
# - energy above the most stable polymorph in this dataset (meV/atom) = 88.3
data_MnCo2Ru
_symmetry_space_group_name_H-M 'P 4/m m m'
_symmetry_Int_Tables_number 123
_symmetry_space_group_name_Hall '-P 4 2'
_cell_length_a 2.776
_cell_length_b 2.776
_cell_length_c 6.272
_cell_angle_alpha 90.00
_cell_angle_beta 90.00
_cell_angle_gamma 90.00
loop_
_atom_site_label
_atom_site_fract_x
_atom_site_fract_y
_atom_site_fract_z
Mn1 0.000 0.000 0.000
Co1 0.500 0.500 0.234
Ru1 0.000 0.000 0.500


(3)
# CuIr2 GGA-PBE optimized geometry
# - energy of formation (eV/atom) = 0.22
# - volume (Å³/cell) = 123.8
# - energy above the most stable polymorph in this dataset (meV/atom) = 160.7
data_CuIr2
_symmetry_space_group_name_H-M 'P -6 2 m'
_symmetry_Int_Tables_number 189
_symmetry_space_group_name_Hall 'P -6 -2'
_cell_length_a 7.2523
_cell_length_b 7.2523
_cell_length_c 2.7181
_cell_angle_alpha 90.00
_cell_angle_beta 90.00
_cell_angle_gamma 120.00
loop_
_atom_site_label
_atom_site_fract_x
_atom_site_fract_y
_atom_site_fract_z
Cu1 0.0000 0.0000 0.0000
Cu2 0.3333 0.6667 0.5000
Ir1 0.0000 0.3010 0.5000
Ir2 0.0000 0.6354 0.0000


(4)
# BaLaBeFe2 GGA-PBE optimized geometry
# - energy of formation (eV/atom) = 1.67
# - volume (Å³/cell) = 127.9
data_BaLaBeFe2
_symmetry_space_group_name_H-M 'P 4/m m m'
_symmetry_Int_Tables_number 123
_symmetry_space_group_name_Hall '-P 4 2'
_cell_length_a 4.545
_cell_length_b 4.545
_cell_length_c 6.194
_cell_angle_alpha 90.00
_cell_angle_beta 90.00
_cell_angle_gamma 90.00
loop_
_atom_site_label
_atom_site_fract_x
_atom_site_fract_y
_atom_site_fract_z
Ba1 0.000 0.000 0.000
La1 0.000 0.000 0.500
Be1 0.500 0.500 0.000
Fe1 0.000 0.500 0.500


(5)
# CsTl4Pt GGA-PBE optimized geometry
# - energy of formation (eV/atom) = -0.13
# - volume (Å³/cell) = 394.2
# - energy above the most stable polymorph in this dataset (meV/atom) = 0.0
data_CsTl4Pt
_symmetry_space_group_name_H-M 'P m m a'
_symmetry_Int_Tables_number 51
_cell_length_a 9.861
_cell_length_b 4.084
_cell_length_c 9.788
_cell_angle_alpha 90.00
_cell_angle_beta 90.00
_cell_angle_gamma 90.00
loop_
_symmetry_equiv_pos_as_xyz
'x,y,z'
'-x,-y,-z'
'-x+1/2,-y,z'
'x+1/2,y,-z'
'x+1/2,-y,-z'
'-x+1/2,y,z'
'-x,y,-z'
'x,-y,z'
loop_
_atom_site_label
_atom_site_fract_x
_atom_site_fract_y
_atom_site_fract_z
Cs1 0.250 0.000 0.079
Tl1 0.000 0.000 0.500
Tl2 0.074 0.500 0.772
Tl3 0.250 0.500 0.416
Pt1 0.250 0.000 0.648


(6)
# Tl2Cu2As GGA-PBE optimized geometry
# - energy of formation (eV/atom) = 0.19
# - volume (Å³/cell) = 213.6
data_Tl2Cu2As
_symmetry_space_group_name_H-M 'P 4/m b m'
_symmetry_Int_Tables_number 127
_symmetry_space_group_name_Hall '-P 4 2ab'
_cell_length_a 6.520
_cell_length_b 6.520
_cell_length_c 5.024
_cell_angle_alpha 90.00
_cell_angle_beta 90.00
_cell_angle_gamma 90.00
loop_
_atom_site_label
_atom_site_fract_x
_atom_site_fract_y
_atom_site_fract_z
Tl1 0.176 0.324 0.000
Cu1 0.149 0.649 0.500
As1 0.000 0.000 0.500